Record 1
AcPmP2 | PBE | relaxed

Calculated values
symmetry: No. 164
energy above the most stable polymorph in this dataset: 220 meV per atom
VASP energy: -6.190 eV per atom
magnetic moment: 0.0 μB/f.u.
energy relative to the elements: -1.27 eV/atom

abc: 4.225 4.225 7.457
angles: 90.00 90.00 120.00
Fractional coordinates of all 4 atoms:
Ac (0.000, 0.000, 0.000)
Pm (0.000, 0.000, 0.500)
P (0.333, 0.667, 0.735)
P (0.667, 0.333, 0.265)



Record 2
Ac2PmP | PBE | relaxed

Calculated values
symmetry: No. 166
energy above the most stable polymorph in this dataset: 0 meV per atom
VASP energy: -5.132 eV per atom
magnetic moment: 0.0 μB/f.u.
energy relative to the elements: -0.54 eV/atom

abc: 10.467 10.467 10.467
angles: 22.74 22.74 22.74
Fractional coordinates of all 4 atoms:
Ac (0.228, 0.228, 0.228)
Ac (0.772, 0.772, 0.772)
Pm (0.000, 0.000, 0.000)
P (0.500, 0.500, 0.500)



Record 3
AcPmP2 | PBE | relaxed

Calculated values
symmetry: No. 166
energy above the most stable polymorph in this dataset: 0 meV per atom
VASP energy: -6.410 eV per atom
magnetic moment: 0.0 μB/f.u.
energy relative to the elements: -1.49 eV/atom

abc: 7.445 7.445 7.445
angles: 33.48 33.48 33.48
Fractional coordinates of all 4 atoms:
Ac (0.000, 0.000, 0.000)
Pm (0.500, 0.500, 0.500)
P (0.245, 0.245, 0.245)
P (0.755, 0.755, 0.755)



Record 4
Ac3PmP4 | PBE | relaxed

Calculated values
symmetry: No. 65
energy above the most stable polymorph in this dataset: 0 meV per atom
VASP energy: -6.304 eV per atom
magnetic moment: 0.0 μB/f.u.
energy relative to the elements: -1.46 eV/atom

abc: 7.573 7.573 4.375
angles: 90.00 90.00 109.40
Fractional coordinates of all 8 atoms:
Ac (0.000, 0.000, 0.000)
Ac (0.000, 0.500, 0.500)
Ac (0.500, 0.000, 0.500)
Pm (0.500, 0.500, 0.000)
P (0.256, 0.744, 0.000)
P (0.260, 0.260, 0.500)
P (0.740, 0.740, 0.500)
P (0.744, 0.256, 0.000)



Record 5
Ac4PmP5 | PBE | relaxed

Calculated values
symmetry: No. 87
VASP energy: -6.287 eV per atom
magnetic moment: 0.0 μB/f.u.
energy relative to the elements: -1.46 eV/atom

abc: 7.602 7.602 7.602
angles: 99.62 99.62 131.73
Fractional coordinates of all 10 atoms:
Ac (0.099, 0.299, 0.397)
Ac (0.299, 0.901, 0.200)
Ac (0.701, 0.099, 0.800)
Ac (0.901, 0.701, 0.603)
Pm (0.500, 0.500, 0.000)
P (0.000, 0.000, 0.000)
P (0.209, 0.596, 0.805)
P (0.404, 0.209, 0.612)
P (0.596, 0.791, 0.388)
P (0.791, 0.404, 0.195)



Record 6
AcPmP2 | PBE | relaxed

Calculated values
symmetry: No. 123
energy above the most stable polymorph in this dataset: 427 meV per atom
VASP energy: -5.982 eV per atom
magnetic moment: 0.0 μB/f.u.
energy relative to the elements: -1.06 eV/atom

abc: 3.660 3.660 7.331
angles: 90.00 90.00 90.00
Fractional coordinates of all 4 atoms:
Ac (0.000, 0.000, 0.000)
Pm (0.000, 0.000, 0.500)
P (0.500, 0.500, 0.264)
P (0.500, 0.500, 0.736)